DFT (PBE) results for an optimized crystal structure of BaAc4Sn4.

Cell: 10.950 10.950 6.720 Å, 90.00 90.00 90.00°
Space group P4_2/n (No. 86, origin choice 2)
Asymmetric unit:
Ba: 0.250 0.250 0.250 (multiplicity 2)
Ac: 0.108 0.636 0.136 (multiplicity 8)
Sn: 0.052 0.591 0.645 (multiplicity 8)

Calculated values
energy	-4.30	eV per atom
formation energy	-4.3	eV/f.u.